Material: TaTlP2Cl
Method: DFT, PBE
State: relaxed

a = 5.0001 Å, b = 5.0001 Å, c = 4.9945 Å
α = 90.00°, β = 90.00°, γ = 90.00°
With the nearest neighbours (Å) after each atom.
Space group P4/mmm (No. 123)
Symmetry-distinct sites (fractional):
Ta 0.0000 0.0000 0.0000 [1 per cell]  8 P 3.53, 4 Cl 3.54
Tl 0.5000 0.5000 0.5000 [1 per cell]  2 Cl 2.50, 4 P 2.50
P 0.0000 0.5000 0.5000 [2 per cell]  2 Tl 2.50
Cl 0.5000 0.5000 0.0000 [1 per cell]  2 Tl 2.50

## Properties
Uncorrected energy ... -18.8 eV for the cell shown
Formation energy (no corrections) ... 1621 meV per atom
Magnetic moment ... 0.100 μB per cell
V ... 24.97 Å³/atom
Excess energy over the best structure of this formula in the dataset ... 1789 meV per atom